PmAl2Pt4 (PBE, relaxed); E above lowest polymorph = 0 meV per atom
1.0
3.964 0.000 0.000
0.000 7.878 0.000
0.000 0.000 7.878
Pt Al Pm
8 4 2
direct
0.000 0.327 0.077 Pt
0.000 0.673 0.923 Pt
0.000 0.077 0.327 Pt
0.500 0.423 0.827 Pt
0.500 0.173 0.577 Pt
0.500 0.577 0.173 Pt
0.500 0.827 0.423 Pt
0.000 0.923 0.673 Pt
0.500 0.726 0.726 Al
0.500 0.274 0.274 Al
0.000 0.226 0.774 Al
0.000 0.774 0.226 Al
0.500 0.000 0.000 Pm
0.000 0.500 0.500 Pm



Computed, not measured: an optimized crystal structure of Pm2Al6Pt9 at the PBE level of DFT.

POSCAR file:
```
Pm2Al6Pt9
1.0
-2.757 4.884 -0.005
-1.218 -3.904 3.838
8.128 4.596 7.254
Pt Al Pm
9 6 2
direct
0.500 0.000 0.831 Pt
0.000 0.500 0.169 Pt
0.500 0.000 0.169 Pt
0.000 0.500 0.831 Pt
0.500 0.000 0.500 Pt
0.500 0.500 0.169 Pt
0.500 0.500 0.500 Pt
0.000 0.500 0.500 Pt
0.500 0.500 0.831 Pt
0.333 0.667 0.336 Al
0.333 0.667 0.000 Al
0.333 0.667 0.664 Al
0.667 0.333 0.000 Al
0.667 0.333 0.336 Al
0.667 0.333 0.664 Al
0.000 0.000 0.306 Pm
0.000 0.000 0.694 Pm
```



PmAlPt4 (PBE, relaxed); E above lowest polymorph = 0 meV per atom
1.0
-1.077 3.419 -1.704
-6.253 -0.400 3.152
2.793 3.889 6.036
Pt Al Pm
8 2 2
direct
0.500 0.309 0.554 Pt
0.500 0.043 0.250 Pt
0.500 0.691 0.054 Pt
0.000 0.000 0.500 Pt
0.500 0.309 0.946 Pt
0.500 0.957 0.750 Pt
0.500 0.691 0.446 Pt
0.000 0.000 0.000 Pt
0.000 0.784 0.250 Al
0.000 0.216 0.750 Al
0.000 0.642 0.750 Pm
0.000 0.358 0.250 Pm



PmAlPt2 (PBE, relaxed); E above lowest polymorph = 312 meV per atom
1.0
3.464 0.000 0.000
0.000 4.703 0.000
0.000 0.000 4.703
Pt Pm Al
2 1 1
direct
0.000 0.500 0.000 Pt
0.000 0.000 0.500 Pt
0.500 0.500 0.500 Pm
0.500 0.000 0.000 Al



PmAlPt (PBE, relaxed); E above lowest polymorph = 0 meV per atom
1.0
4.486 0.000 0.000
0.000 7.837 0.000
0.000 0.000 7.112
Al Pm Pt
4 4 4
direct
0.750 0.567 0.646 Al
0.250 0.067 0.854 Al
0.750 0.933 0.146 Al
0.250 0.433 0.354 Al
0.250 0.682 0.970 Pm
0.250 0.818 0.470 Pm
0.750 0.182 0.530 Pm
0.750 0.318 0.030 Pm
0.250 0.387 0.719 Pt
0.750 0.887 0.781 Pt
0.250 0.113 0.219 Pt
0.750 0.613 0.281 Pt



Computed, not measured: an optimized crystal structure of Pm4Al12Pt at the PBE level of DFT.

POSCAR file:
```
Pm4Al12Pt
1.0
-3.995 -2.408 -5.995
6.843 2.363 -2.301
0.823 -5.702 4.951
Al Pm Pt
12 4 1
direct
0.250 0.750 0.500 Al
0.750 0.250 0.500 Al
0.293 0.000 0.293 Al
0.500 0.250 0.750 Al
0.000 0.293 0.293 Al
0.750 0.500 0.250 Al
0.500 0.750 0.250 Al
0.250 0.500 0.750 Al
0.707 0.707 0.000 Al
0.707 0.000 0.707 Al
0.293 0.293 0.000 Al
0.000 0.707 0.707 Al
0.500 0.000 0.000 Pm
0.000 0.500 0.000 Pm
0.500 0.500 0.500 Pm
0.000 0.000 0.500 Pm
0.000 0.000 0.000 Pt
```



| no. | ΔH_f (0 K) (eV/f.u.) | density (g/cm³) |
| --- | --- | --- |
| 1 | -6.94 | 13.22 |
| 2 | -16.47 | 11.38 |
| 3 | -5.45 | 14.75 |
| 4 | -3.27 | 12.18 |
| 5 | -3.27 | 9.75 |
| 6 | -9.74 | 5.41 |